First-principles (PBE-GGA) data for a geometry-optimized CrSn2Br structure, as listed in Alexandria via LeMat-Bulk.

Lattice parameters (Å, degrees): 5.6242 5.6242 16.8168 90.00 90.00 90.00
With the nearest neighbours (Å) after each atom.
Sites, in units of the cell vectors:
Cr1 0.0000 0.0000 0.0000  4 Sn 2.68
Cr2 0.0000 0.5000 0.2500  4 Sn 2.68
Cr3 0.5000 0.0000 0.7500  4 Sn 2.68
Cr4 0.5000 0.5000 0.5000  4 Sn 2.68
Sn1 0.1553 0.2500 0.1250  2 Cr 2.68
Sn2 0.2500 0.6553 0.3750  2 Cr 2.68
Sn3 0.2500 0.8447 0.8750  2 Cr 2.68
Sn4 0.3447 0.2500 0.6250  2 Cr 2.68
Sn5 0.6553 0.7500 0.6250  2 Cr 2.68
Sn6 0.7500 0.1553 0.8750  2 Cr 2.68
Sn7 0.7500 0.3447 0.3750  2 Cr 2.68
Sn8 0.8447 0.7500 0.1250  2 Cr 2.68
Br1 0.0000 0.0000 0.5000  4 Sn 3.19
Br2 0.0000 0.5000 0.7500  4 Sn 3.19
Br3 0.5000 0.0000 0.2500  4 Sn 3.19
Br4 0.5000 0.5000 0.0000  4 Sn 3.19

Values from the calculation:
Total magnetic moment (μB/cell): 12.53
Energy relative to the elements, uncorrected (eV per atom): 0.52
SG: No. 122
DOS(E_F) (states/eV per cell): 15.2
V (Å³ per atom): 33.25